{"formula": "Mg5Sc", "functional": "meta-GGA SCAN", "state": "single point on PBEsol structure", "dft_energy_ev_per_atom": -6.506, "dos_ef_per_ev_cell": 3.50, "sg": "P-62m (189)", "lattice_angstrom": [[5.5496, 0.0000, 0.0000], [-2.7748, 4.8061, 0.0000], [0.0000, 0.0000, 5.0938]], "species": ["Mg", "Mg", "Mg", "Mg", "Mg", "Sc"], "frac_coords": [[0.0000, 0.6602, 0.0000], [0.3333, 0.6667, 0.5000], [0.3398, 0.3398, 0.0000], [0.6602, 0.0000, 0.0000], [0.6667, 0.3333, 0.5000], [0.0000, 0.0000, 0.5000]]}

{"formula": "KTaRh2", "functional": "meta-GGA SCAN", "state": "single point on PBEsol structure", "dft_energy_ev_per_atom": -35.086, "dos_ef_per_ev_cell": 1.89, "sg": "Fm-3m (225)", "lattice_angstrom": [[0.0000, 3.2347, 3.2347], [3.2347, 0.0000, 3.2347], [3.2347, 3.2347, 0.0000]], "species": ["K", "Ta", "Rh", "Rh"], "frac_coords": [[0.0000, 0.0000, 0.0000], [0.5000, 0.5000, 0.5000], [0.2500, 0.2500, 0.2500], [0.7500, 0.7500, 0.7500]]}

{"formula": "SrMg2InB", "functional": "meta-GGA SCAN", "state": "single point on PBEsol structure", "dft_energy_ev_per_atom": -13.936, "dos_ef_per_ev_cell": 3.03, "sg": "P4/mmm (123)", "lattice_angstrom": [[5.6488, 0.0000, 0.0000], [0.0000, 5.6488, 0.0000], [0.0000, 0.0000, 4.2934]], "species": ["Sr", "Mg", "Mg", "In", "B"], "frac_coords": [[0.0000, 0.0000, 0.0000], [0.0000, 0.5000, 0.5000], [0.5000, 0.0000, 0.5000], [0.5000, 0.5000, 0.5000], [0.5000, 0.5000, 0.0000]]}

{"formula": "ZrScN2F", "functional": "meta-GGA SCAN", "state": "single point on PBEsol structure", "dos_ef_per_ev_cell": 0.87, "sg": "P4/mmm (123)", "e_form_raw_mev_per_atom": -1306, "lattice_angstrom": [[4.1165, 0.0000, 0.0000], [0.0000, 4.1165, 0.0000], [0.0000, 0.0000, 3.7062]], "species": ["Zr", "Sc", "N", "N", "F"], "frac_coords": [[0.0000, 0.0000, 0.0000], [0.5000, 0.5000, 0.5000], [0.0000, 0.5000, 0.5000], [0.5000, 0.0000, 0.5000], [0.5000, 0.5000, 0.0000]]}

{"formula": "Fe3Co5", "functional": "meta-GGA SCAN", "state": "single point on PBEsol structure", "dft_energy_ev_per_atom": -17.705, "dos_ef_per_ev_cell": 5.66, "sg": "Pmm2 (25)", "lattice_angstrom": [[2.7867, 0.0000, 0.0000], [0.0000, 3.9282, 0.0000], [0.0000, 0.0000, 7.8615]], "species": ["Fe", "Fe", "Fe", "Co", "Co", "Co", "Co", "Co"], "frac_coords": [[0.0000, 0.0000, 0.0000], [0.0000, 0.5000, 0.2488], [0.5000, 0.0000, 0.2537], [0.0000, 0.0000, 0.5058], [0.0000, 0.5000, 0.7406], [0.5000, 0.0000, 0.7580], [0.5000, 0.5000, 0.4958], [0.5000, 0.5000, 0.9976]]}

{"formula": "TaTlSe3", "functional": "meta-GGA SCAN", "state": "single point on PBEsol structure", "dos_ef_per_ev_cell": 0.96, "sg": "Pnma (62)", "e_form_raw_mev_per_atom": -684, "lattice_angstrom": [[9.4152, 0.0000, 0.0000], [0.0000, 3.5848, 0.0000], [0.0000, 0.0000, 14.6811]], "species": ["Ta", "Ta", "Ta", "Ta", "Tl", "Tl", "Tl", "Tl", "Se", "Se", "Se", "Se", "Se", "Se", "Se", "Se", "Se", "Se", "Se", "Se"], "frac_coords": [[0.1618, 0.2500, 0.0710], [0.3382, 0.7500, 0.5710], [0.6618, 0.2500, 0.4290], [0.8382, 0.7500, 0.9290], [0.0183, 0.7500, 0.3285], [0.4817, 0.2500, 0.8285], [0.5183, 0.7500, 0.1715], [0.9817, 0.2500, 0.6715], [0.0310, 0.2500, 0.8990], [0.1787, 0.2500, 0.4987], [0.2446, 0.7500, 0.7221], [0.2554, 0.2500, 0.2221], [0.3213, 0.7500, 0.9987], [0.4690, 0.7500, 0.3990], [0.5310, 0.2500, 0.6010], [0.6787, 0.2500, 0.0013], [0.7446, 0.7500, 0.7779], [0.7554, 0.2500, 0.2779], [0.8213, 0.7500, 0.5013], [0.9690, 0.7500, 0.1010]]}

{"formula": "K2GaHg2", "functional": "meta-GGA SCAN", "state": "single point on PBEsol structure", "dft_energy_ev_per_atom": -33.875, "dos_ef_per_ev_cell": 2.97, "sg": "I4/mmm (139)", "lattice_angstrom": [[-2.0607, 2.0607, 9.9370], [2.0607, -2.0607, 9.9370], [2.0607, 2.0607, -9.9370]], "species": ["K", "K", "Ga", "Hg", "Hg"], "frac_coords": [[0.1031, 0.1031, 0.0000], [0.8969, 0.8969, 0.0000], [0.5000, 0.5000, 0.0000], [0.2500, 0.7500, 0.5000], [0.7500, 0.2500, 0.5000]]}

{"formula": "RbI2Br", "functional": "meta-GGA SCAN", "state": "single point on PBEsol structure", "dos_ef_per_ev_cell": 7.15, "sg": "I-42d (122)", "e_form_raw_mev_per_atom": -485, "lattice_angstrom": [[-3.2243, 3.2243, 9.8535], [3.2243, -3.2243, 9.8535], [3.2243, 3.2243, -9.8535]], "species": ["Rb", "Rb", "I", "I", "I", "I", "Br", "Br"], "frac_coords": [[0.0000, 0.0000, 0.0000], [0.7500, 0.2500, 0.5000], [0.2167, 0.6250, 0.0917], [0.3750, 0.4667, 0.5917], [0.5333, 0.1250, 0.9083], [0.8750, 0.7833, 0.4083], [0.2500, 0.7500, 0.5000], [0.5000, 0.5000, 0.0000]]}

{"formula": "RuW2Br", "functional": "meta-GGA SCAN", "state": "single point on PBEsol structure", "dos_ef_per_ev_cell": 2.35, "sg": "I4/mmm (139)", "e_form_raw_mev_per_atom": 1306, "lattice_angstrom": [[-1.8810, 1.8810, 4.4276], [1.8810, -1.8810, 4.4276], [1.8810, 1.8810, -4.4276]], "species": ["Ru", "W", "W", "Br"], "frac_coords": [[0.0000, 0.0000, 0.0000], [0.2500, 0.7500, 0.5000], [0.7500, 0.2500, 0.5000], [0.5000, 0.5000, 0.0000]]}

{"formula": "Sr4SnN4", "functional": "meta-GGA SCAN", "state": "single point on PBEsol structure", "sg": "P-1 (2)", "e_form_raw_mev_per_atom": -703, "lattice_angstrom": [[6.3852, 0.0000, 0.0000], [2.4238, 5.9830, 0.0000], [1.7622, 2.5331, 8.9595]], "species": ["Sr", "Sr", "Sr", "Sr", "Sr", "Sr", "Sr", "Sr", "Sn", "Sn", "N", "N", "N", "N", "N", "N", "N", "N"], "frac_coords": [[0.2258, 0.4271, 0.3261], [0.2282, 0.9583, 0.1096], [0.2596, 0.7710, 0.5219], [0.2734, 0.5095, 0.9315], [0.7266, 0.4905, 0.0685], [0.7404, 0.2290, 0.4781], [0.7718, 0.0417, 0.8904], [0.7742, 0.5729, 0.6739], [0.2855, 0.1510, 0.7439], [0.7145, 0.8490, 0.2561], [0.0202, 0.2994, 0.8929], [0.1000, 0.1711, 0.5759], [0.4871, 0.3690, 0.6932], [0.4939, 0.8198, 0.8656], [0.5061, 0.1802, 0.1344], [0.5129, 0.6310, 0.3068], [0.9000, 0.8289, 0.4241], [0.9798, 0.7006, 0.1071]]}

{"formula": "Zr2CoTc", "functional": "meta-GGA SCAN", "state": "single point on PBEsol structure", "dft_energy_ev_per_atom": -28.388, "dos_ef_per_ev_cell": 3.59, "sg": "Cmm2 (35)", "lattice_angstrom": [[2.0349, -2.2876, 0.0000], [2.0349, 2.2876, 0.0000], [0.0000, 0.0000, 7.2964]], "species": ["Zr", "Zr", "Co", "Tc"], "frac_coords": [[0.0000, 0.0000, 0.0000], [0.5000, 0.5000, 0.3308], [0.0000, 0.0000, 0.5857], [0.5000, 0.5000, 0.7374]]}

{"formula": "BaFe2P2O8", "functional": "meta-GGA SCAN", "state": "single point on PBEsol structure", "dos_ef_per_ev_cell": 0.79, "sg": "P-1 (2)", "e_form_raw_mev_per_atom": -2460, "lattice_angstrom": [[4.7733, 0.0000, 0.0000], [2.2847, 4.2019, 0.0000], [2.3187, -1.1770, 7.8813]], "species": ["Ba", "Fe", "Fe", "P", "P", "O", "O", "O", "O", "O", "O", "O", "O"], "frac_coords": [[0.0000, 0.0000, 0.0000], [0.3534, 0.8479, 0.4940], [0.6466, 0.1521, 0.5060], [0.1544, 0.4246, 0.2747], [0.8456, 0.5754, 0.7253], [0.0921, 0.1490, 0.3465], [0.1824, 0.2471, 0.6715], [0.2869, 0.3545, 0.0815], [0.4164, 0.4443, 0.3453], [0.5836, 0.5557, 0.6547], [0.7131, 0.6455, 0.9185], [0.8176, 0.7529, 0.3285], [0.9079, 0.8510, 0.6535]]}

{"formula": "TcAsIN2", "functional": "meta-GGA SCAN", "state": "single point on PBEsol structure", "dos_ef_per_ev_cell": 2.73, "sg": "P4/mmm (123)", "e_form_raw_mev_per_atom": 1774, "lattice_angstrom": [[3.7747, 0.0000, 0.0000], [0.0000, 3.7747, 0.0000], [0.0000, 0.0000, 6.2957]], "species": ["Tc", "As", "I", "N", "N"], "frac_coords": [[0.0000, 0.0000, 0.0000], [0.5000, 0.5000, 0.5000], [0.5000, 0.5000, 0.0000], [0.0000, 0.5000, 0.5000], [0.5000, 0.0000, 0.5000]]}

{"formula": "Gd3Ge13Ir4", "functional": "meta-GGA SCAN", "state": "single point on PBEsol structure", "dft_energy_ev_per_atom": -36.053, "dos_ef_per_ev_cell": 13.38, "sg": "Pm-3n (223)", "lattice_angstrom": [[8.9488, 0.0000, 0.0000], [0.0000, 8.9488, 0.0000], [0.0000, 0.0000, 8.9488]], "species": ["Gd", "Gd", "Gd", "Gd", "Gd", "Gd", "Ge", "Ge", "Ge", "Ge", "Ge", "Ge", "Ge", "Ge", "Ge", "Ge", "Ge", "Ge", "Ge", "Ge", "Ge", "Ge", "Ge", "Ge", "Ge", "Ge", "Ge", "Ge", "Ge", "Ge", "Ge", "Ge", "Ir", "Ir", "Ir", "Ir", "Ir", "Ir", "Ir", "Ir"], "frac_coords": [[0.0000, 0.2500, 0.5000], [0.0000, 0.7500, 0.5000], [0.2500, 0.5000, 0.0000], [0.5000, 0.0000, 0.2500], [0.5000, 0.0000, 0.7500], [0.7500, 0.5000, 0.0000], [0.0000, 0.0000, 0.0000], [0.0000, 0.3074, 0.1452], [0.0000, 0.3074, 0.8548], [0.0000, 0.6926, 0.1452], [0.0000, 0.6926, 0.8548], [0.1452, 0.0000, 0.3074], [0.1452, 0.0000, 0.6926], [0.1926, 0.5000, 0.3548], [0.1926, 0.5000, 0.6452], [0.3074, 0.1452, 0.0000], [0.3074, 0.8548, 0.0000], [0.3548, 0.1926, 0.5000], [0.3548, 0.8074, 0.5000], [0.5000, 0.3548, 0.1926], [0.5000, 0.3548, 0.8074], [0.5000, 0.5000, 0.5000], [0.5000, 0.6452, 0.1926], [0.5000, 0.6452, 0.8074], [0.6452, 0.1926, 0.5000], [0.6452, 0.8074, 0.5000], [0.6926, 0.1452, 0.0000], [0.6926, 0.8548, 0.0000], [0.8074, 0.5000, 0.3548], [0.8074, 0.5000, 0.6452], [0.8548, 0.0000, 0.3074], [0.8548, 0.0000, 0.6926], [0.2500, 0.2500, 0.2500], [0.2500, 0.2500, 0.7500], [0.2500, 0.7500, 0.2500], [0.2500, 0.7500, 0.7500], [0.7500, 0.2500, 0.2500], [0.7500, 0.2500, 0.7500], [0.7500, 0.7500, 0.2500], [0.7500, 0.7500, 0.7500]]}

{"formula": "BaTeP2", "functional": "meta-GGA SCAN", "state": "single point on PBEsol structure", "dos_ef_per_ev_cell": 1.44, "sg": "Imm2 (44)", "e_form_raw_mev_per_atom": -518, "lattice_angstrom": [[-1.7039, 2.8596, 5.1432], [1.7039, -2.8596, 5.1432], [1.7039, 2.8596, -5.1432]], "species": ["Ba", "Te", "P", "P"], "frac_coords": [[0.0000, 0.0000, 0.0000], [0.7010, 0.2010, 0.5000], [0.2895, 0.7895, 0.5000], [0.4276, 0.4276, 0.0000]]}

{"formula": "CuRuPt2", "functional": "meta-GGA SCAN", "state": "single point on PBEsol structure", "dft_energy_ev_per_atom": -47.650, "dos_ef_per_ev_cell": 4.26, "sg": "Pmmm (47)", "lattice_angstrom": [[2.7012, 0.0000, 0.0000], [0.0000, 3.8126, 0.0000], [0.0000, 0.0000, 5.3352]], "species": ["Cu", "Ru", "Pt", "Pt"], "frac_coords": [[0.0000, 0.0000, 0.0000], [0.0000, 0.0000, 0.5000], [0.5000, 0.5000, 0.2498], [0.5000, 0.5000, 0.7502]]}

{"formula": "SrCd2ReMo", "functional": "meta-GGA SCAN", "state": "single point on PBEsol structure", "dft_energy_ev_per_atom": -37.059, "dos_ef_per_ev_cell": 3.45, "sg": "P4/mmm (123)", "lattice_angstrom": [[5.2857, 0.0000, 0.0000], [0.0000, 5.2857, 0.0000], [0.0000, 0.0000, 4.6079]], "species": ["Sr", "Cd", "Cd", "Re", "Mo"], "frac_coords": [[0.0000, 0.0000, 0.0000], [0.0000, 0.5000, 0.5000], [0.5000, 0.0000, 0.5000], [0.5000, 0.5000, 0.0000], [0.5000, 0.5000, 0.5000]]}

{"formula": "BaAgMo", "functional": "meta-GGA SCAN", "state": "single point on PBEsol structure", "dft_energy_ev_per_atom": -33.985, "dos_ef_per_ev_cell": 1.86, "sg": "F-43m (216)", "lattice_angstrom": [[0.0000, 3.4460, 3.4460], [3.4460, 0.0000, 3.4460], [3.4460, 3.4460, 0.0000]], "species": ["Ba", "Ag", "Mo"], "frac_coords": [[0.0000, 0.0000, 0.0000], [0.5000, 0.5000, 0.5000], [0.7500, 0.7500, 0.7500]]}

{"formula": "MnAl3", "functional": "meta-GGA SCAN", "state": "single point on PBEsol structure", "dft_energy_ev_per_atom": -10.623, "dos_ef_per_ev_cell": 1.62, "sg": "Cmmm (65)", "lattice_angstrom": [[2.6422, -3.8913, 0.0000], [2.6422, 3.8913, 0.0000], [0.0000, 0.0000, 2.7762]], "species": ["Mn", "Al", "Al", "Al"], "frac_coords": [[0.0000, 0.0000, 0.0000], [0.0000, 0.5000, 0.5000], [0.5000, 0.0000, 0.5000], [0.5000, 0.5000, 0.0000]]}

{"formula": "NaEuO2", "functional": "meta-GGA SCAN", "state": "single point on PBEsol structure", "dos_ef_per_ev_cell": 1.48, "sg": "R-3m (166)", "e_form_raw_mev_per_atom": -2501, "lattice_angstrom": [[1.7362, 1.0024, 5.5019], [-1.7362, 1.0024, 5.5019], [0.0000, -2.0048, 5.5019]], "species": ["Na", "Eu", "O", "O"], "frac_coords": [[0.0000, 0.0000, 0.0000], [0.5000, 0.5000, 0.5000], [0.2389, 0.2389, 0.2389], [0.7611, 0.7611, 0.7611]]}

{"formula": "Zr2MnCu", "functional": "meta-GGA SCAN", "state": "single point on PBEsol structure", "dft_energy_ev_per_atom": -23.759, "dos_ef_per_ev_cell": 4.11, "sg": "Imm2 (44)", "lattice_angstrom": [[-1.5756, 2.1779, 4.8352], [1.5756, -2.1779, 4.8352], [1.5756, 2.1779, -4.8352]], "species": ["Zr", "Zr", "Mn", "Cu"], "frac_coords": [[0.0000, 0.0000, 0.0000], [0.7211, 0.2211, 0.5000], [0.4714, 0.4714, 0.0000], [0.2706, 0.7706, 0.5000]]}

{"formula": "Ba2LiHf", "functional": "meta-GGA SCAN", "state": "single point on PBEsol structure", "dft_energy_ev_per_atom": -35.333, "dos_ef_per_ev_cell": 4.20, "sg": "Fm-3m (225)", "lattice_angstrom": [[0.0000, 4.0957, 4.0957], [4.0957, 0.0000, 4.0957], [4.0957, 4.0957, 0.0000]], "species": ["Ba", "Ba", "Li", "Hf"], "frac_coords": [[0.2500, 0.2500, 0.2500], [0.7500, 0.7500, 0.7500], [0.0000, 0.0000, 0.0000], [0.5000, 0.5000, 0.5000]]}

{"formula": "TaIO2", "functional": "meta-GGA SCAN", "state": "single point on PBEsol structure", "dos_ef_per_ev_cell": 1.97, "sg": "R-3m (166)", "e_form_raw_mev_per_atom": -1669, "lattice_angstrom": [[1.5778, 0.9110, 9.6324], [-1.5778, 0.9110, 9.6324], [0.0000, -1.8219, 9.6324]], "species": ["Ta", "I", "O", "O"], "frac_coords": [[0.0000, 0.0000, 0.0000], [0.5000, 0.5000, 0.5000], [0.3678, 0.3678, 0.3678], [0.6322, 0.6322, 0.6322]]}

{"formula": "InHO2", "functional": "meta-GGA SCAN", "state": "single point on PBEsol structure", "dft_energy_ev_per_atom": -13.878, "dos_ef_per_ev_cell": 0.00, "sg": "Pmn2_1 (31)", "lattice_angstrom": [[3.2885, 0.0000, 0.0000], [0.0000, 4.5571, 0.0000], [0.0000, 0.0000, 5.2923]], "species": ["In", "In", "H", "H", "O", "O", "O", "O"], "frac_coords": [[0.0000, 0.2352, 0.0000], [0.5000, 0.7648, 0.5000], [0.0000, 0.2836, 0.4866], [0.5000, 0.7164, 0.9866], [0.0000, 0.0281, 0.6335], [0.0000, 0.4775, 0.3665], [0.5000, 0.5225, 0.8665], [0.5000, 0.9719, 0.1335]]}